First-principles (PBE+U) data for an optimized crystal structure of VCrGeO6, as listed in the Alexandria database.

It has space group P4_2nm (No. 102), with a = 4.561 Å, b = 4.561 Å, c = 8.785 Å, α = 90.00°, β = 90.00° and γ = 90.00°. The distinct sites, in fractional coordinates, are V at (0.000, 0.000, 0.000), Cr at (0.000, 0.000, 0.329), Ge at (0.000, 0.000, 0.661), O at (0.187, 0.187, 0.828), O at (0.197, 0.197, 0.501) and O at (0.199, 0.199, 0.151).

The value obtained for the total energy is -7.237 eV/atom.